The following is a PBE-GGA calculation of a relaxed structure of BaLi2P, from Alexandria via LeMat-Bulk.

abc: 5.251 5.251 5.251
angles: 133.47 115.12 83.54
Atoms (fractional coordinates):
Li 0.424 0.424 0.000
Li 0.076 0.076 0.000
Ba 0.750 0.250 0.500
P 0.250 0.750 0.500

Computed properties:
V: 22.879 Å³ per atom
Space group: Immm, No. 71
VASP energy: -3.21 eV per atom
Energy of formation from the pure elements: -0.4149 eV per atom
M_tot: 0.00 μB/f.u.